(1)
Here is a relaxed structure of Pu4Hg5Pt2 from Alexandria. Energies are from PBE-GGA.

Cell lengths 7.844, 3.569, 9.867 Å; angles 90.00, 95.33, 90.00 degrees
Fractional coordinates of all 11 atoms:
Pu 0.178 0.000 0.359
Pu 0.228 0.000 0.942
Pu 0.772 0.000 0.058
Pu 0.822 0.000 0.641
Hg 0.176 0.500 0.646
Hg 0.460 0.500 0.179
Hg 0.500 0.500 0.500
Hg 0.540 0.500 0.821
Hg 0.824 0.500 0.354
Pt 0.074 0.500 0.140
Pt 0.926 0.500 0.860

Computed properties:
Calculated total energy ... -6.816 eV per atom
DOS at the Fermi energy ... 3.908 states/eV/atom
Energy relative to the elements ... -369 meV/atom



(2)
Here is a relaxed structure of PuHgPt2 from Alexandria. Energies are from PBE-GGA.

Cell lengths 3.631, 3.631, 6.130 Å; angles 90.00, 90.00, 90.00 degrees
Fractional coordinates of all 4 atoms:
Pu 0.000 0.000 0.000
Hg 0.000 0.000 0.500
Pt 0.500 0.500 0.258
Pt 0.500 0.500 0.742

Computed properties:
Calculated total energy ... -7.075 eV per atom
Energy above the lowest structure with this stoichiometry ... 0.063 eV/atom
DOS at the Fermi energy ... 3.308 states/eV/atom
Energy relative to the elements ... -397 meV/atom



(3)
Here is a relaxed structure of PuHg2Pt from Alexandria. Energies are from PBE-GGA.

Cell lengths 3.118, 3.118, 32.356 Å; angles 90.00, 90.00, 120.00 degrees
Fractional coordinates of all 12 atoms:
Pu 0.000 0.000 0.000
Pu 0.333 0.667 0.667
Pu 0.667 0.333 0.333
Hg 0.000 0.000 0.096
Hg 0.000 0.000 0.904
Hg 0.333 0.667 0.571
Hg 0.333 0.667 0.763
Hg 0.667 0.333 0.237
Hg 0.667 0.333 0.429
Pt 0.000 0.000 0.500
Pt 0.333 0.667 0.167
Pt 0.667 0.333 0.833

Computed properties:
Calculated total energy ... -5.001 eV per atom
DOS at the Fermi energy ... 1.905 states/eV/atom
Energy relative to the elements ... 243 meV/atom



(4)
Here is a relaxed structure of PuHg3Pt8 from Alexandria. Energies are from PBE-GGA.

Cell lengths 9.363, 9.363, 9.363 Å; angles 33.47, 33.47, 33.47 degrees
Fractional coordinates of all 12 atoms:
Pu 0.000 0.000 0.000
Hg 0.380 0.380 0.380
Hg 0.502 0.502 0.502
Hg 0.874 0.874 0.874
Pt 0.188 0.188 0.188
Pt 0.437 0.937 0.937
Pt 0.438 0.438 0.940
Pt 0.438 0.940 0.438
Pt 0.688 0.688 0.688
Pt 0.937 0.437 0.937
Pt 0.937 0.937 0.437
Pt 0.940 0.438 0.438

Computed properties:
Calculated total energy ... -5.522 eV per atom
DOS at the Fermi energy ... 1.849 states/eV/atom
Energy relative to the elements ... -225 meV/atom



(5)
Here is a relaxed structure of Pu4HgPt2 from Alexandria. Energies are from PBE-GGA.

Cell lengths 5.115, 5.115, 14.988 Å; angles 90.00, 90.00, 120.00 degrees
Fractional coordinates of all 14 atoms:
Pu 0.000 0.000 0.000
Pu 0.000 0.000 0.500
Pu 0.333 0.667 0.131
Pu 0.333 0.667 0.369
Pu 0.333 0.667 0.750
Pu 0.667 0.333 0.250
Pu 0.667 0.333 0.631
Pu 0.667 0.333 0.869
Hg 0.000 0.000 0.250
Hg 0.000 0.000 0.750
Pt 0.333 0.667 0.562
Pt 0.333 0.667 0.938
Pt 0.667 0.333 0.062
Pt 0.667 0.333 0.438

Computed properties:
Calculated total energy ... -10.288 eV per atom
Energy above the lowest structure with this stoichiometry ... 0.011 eV/atom
DOS at the Fermi energy ... 5.917 states/eV/atom
Energy relative to the elements ... -329 meV/atom



(6)
Here is a relaxed structure of Pu5HgPt4 from Alexandria. Energies are from PBE-GGA.

Cell lengths 3.813, 3.813, 14.560 Å; angles 90.00, 90.00, 90.00 degrees
Fractional coordinates of all 10 atoms:
Pu 0.000 0.000 0.000
Pu 0.000 0.000 0.203
Pu 0.000 0.000 0.373
Pu 0.000 0.000 0.627
Pu 0.000 0.000 0.797
Hg 0.500 0.500 0.500
Pt 0.500 0.500 0.097
Pt 0.500 0.500 0.285
Pt 0.500 0.500 0.715
Pt 0.500 0.500 0.903

Computed properties:
Calculated total energy ... -9.832 eV per atom
DOS at the Fermi energy ... 3.412 states/eV/atom
Energy relative to the elements ... -220 meV/atom



(7)
Here is a relaxed structure of Pu4HgPt2 from Alexandria. Energies are from PBE-GGA.

Cell lengths 7.861, 7.861, 7.861 Å; angles 36.37, 36.37, 36.37 degrees
Fractional coordinates of all 7 atoms:
Pu 0.068 0.068 0.068
Pu 0.231 0.231 0.231
Pu 0.769 0.769 0.769
Pu 0.932 0.932 0.932
Hg 0.500 0.500 0.500
Pt 0.361 0.361 0.361
Pt 0.639 0.639 0.639

Computed properties:
Calculated total energy ... -10.298 eV per atom
Energy above the lowest structure with this stoichiometry ... 0.000 eV/atom
DOS at the Fermi energy ... 3.844 states/eV/atom
Energy relative to the elements ... -339 meV/atom



(8)
Here is a relaxed structure of Pu4HgPtRh2 from Alexandria. Energies are from PBE-GGA.

Cell lengths 8.469, 8.469, 8.469 Å; angles 34.81, 34.81, 34.81 degrees
Fractional coordinates of all 8 atoms:
Pu 0.118 0.118 0.118
Pu 0.366 0.366 0.366
Pu 0.634 0.634 0.634
Pu 0.882 0.882 0.882
Hg 0.500 0.500 0.500
Pt 0.000 0.000 0.000
Rh 0.242 0.242 0.242
Rh 0.758 0.758 0.758

Computed properties:
Calculated total energy ... -10.168 eV per atom
DOS at the Fermi energy ... 4.256 states/eV/atom
Energy relative to the elements ... -371 meV/atom



(9)
Here is a relaxed structure of PuHgPtRh from Alexandria. Energies are from PBE-GGA.

Cell lengths 6.753, 6.753, 6.753 Å; angles 90.00, 90.00, 90.00 degrees
Fractional coordinates of all 16 atoms:
Pu 0.000 0.000 0.000
Pu 0.000 0.500 0.500
Pu 0.500 0.000 0.500
Pu 0.500 0.500 0.000
Hg 0.000 0.000 0.500
Hg 0.000 0.500 0.000
Hg 0.500 0.000 0.000
Hg 0.500 0.500 0.500
Pt 0.250 0.250 0.250
Pt 0.250 0.750 0.750
Pt 0.750 0.250 0.750
Pt 0.750 0.750 0.250
Rh 0.250 0.250 0.750
Rh 0.250 0.750 0.250
Rh 0.750 0.250 0.250
Rh 0.750 0.750 0.750

Computed properties:
Calculated total energy ... -7.375 eV per atom
DOS at the Fermi energy ... 1.993 states/eV/atom
Energy relative to the elements ... -368 meV/atom



(10)
Here is a relaxed structure of Pu4HgRu2Pt from Alexandria. Energies are from PBE-GGA.

Cell lengths 8.565, 8.565, 8.565 Å; angles 33.68, 33.68, 33.68 degrees
Fractional coordinates of all 8 atoms:
Pu 0.119 0.119 0.119
Pu 0.370 0.370 0.370
Pu 0.630 0.630 0.630
Pu 0.881 0.881 0.881
Hg 0.500 0.500 0.500
Ru 0.251 0.251 0.251
Ru 0.749 0.749 0.749
Pt 0.000 0.000 0.000

Computed properties:
Calculated total energy ... -10.469 eV per atom
DOS at the Fermi energy ... 3.263 states/eV/atom
Energy relative to the elements ... -191 meV/atom



(11)
Here is a relaxed structure of Pu4HgRuPt2 from Alexandria. Energies are from PBE-GGA.

Cell lengths 8.456, 8.456, 8.456 Å; angles 34.96, 34.96, 34.96 degrees
Fractional coordinates of all 8 atoms:
Pu 0.113 0.113 0.113
Pu 0.362 0.362 0.362
Pu 0.638 0.638 0.638
Pu 0.887 0.887 0.887
Hg 0.500 0.500 0.500
Ru 0.000 0.000 0.000
Pt 0.237 0.237 0.237
Pt 0.763 0.763 0.763

Computed properties:
Calculated total energy ... -10.272 eV per atom
DOS at the Fermi energy ... 3.756 states/eV/atom
Energy relative to the elements ... -399 meV/atom



(12)
Here is a relaxed structure of PuSnHgPt from Alexandria. Energies are from PBE-GGA.

Cell lengths 7.097, 7.097, 7.097 Å; angles 90.00, 90.00, 90.00 degrees
Fractional coordinates of all 16 atoms:
Pu 0.000 0.000 0.000
Pu 0.000 0.500 0.500
Pu 0.500 0.000 0.500
Pu 0.500 0.500 0.000
Sn 0.000 0.000 0.500
Sn 0.000 0.500 0.000
Sn 0.500 0.000 0.000
Sn 0.500 0.500 0.500
Hg 0.250 0.250 0.250
Hg 0.250 0.750 0.750
Hg 0.750 0.250 0.750
Hg 0.750 0.750 0.250
Pt 0.250 0.250 0.750
Pt 0.250 0.750 0.250
Pt 0.750 0.250 0.250
Pt 0.750 0.750 0.750

Computed properties:
Calculated total energy ... -6.525 eV per atom
DOS at the Fermi energy ... 3.350 states/eV/atom
Energy relative to the elements ... -356 meV/atom